[1]
ScTa2W2: optimized geometry, PBE.

Output
- uncorrected energy (eV per formula unit) = -52.450
- DOS at the Fermi energy (states/eV/atom) = 1.208
- energy of formation (eV per atom) = 0.699
- crystal system = tetragonal
- space group = I4/mmm (139)

The structure in extended XYZ format:
```
10
Lattice="3.944 0.000 0.000 0.000 3.944 0.000 0.000 0.000 13.080" Properties=species:S:1:pos:R:3 pbc="T T T"
Sc 0.000 0.000 0.000
Sc 1.972 1.972 6.540
Ta 0.000 0.000 5.120
Ta 0.000 0.000 7.961
Ta 1.972 1.972 1.421
Ta 1.972 1.972 11.660
W 0.000 1.972 3.270
W 0.000 1.972 9.810
W 1.972 0.000 3.270
W 1.972 0.000 9.810
```

[2]
ScTaW2: optimized geometry, PBE.

Output
- uncorrected energy (eV per formula unit) = -42.529
- energy above the lowest structure with this stoichiometry (meV/atom) = 263
- DOS at the Fermi energy (states/eV/atom) = 0.942
- energy of formation (eV per atom) = 0.390
- crystal system = tetragonal
- space group = I4/mmm (139)

The structure in extended XYZ format:
```
8
Lattice="3.932 0.000 0.000 0.000 3.932 0.000 0.000 0.000 9.221" Properties=species:S:1:pos:R:3 pbc="T T T"
Sc 0.000 0.000 0.000
Sc 1.966 1.966 4.610
Ta 0.000 0.000 4.610
Ta 1.966 1.966 0.000
W 0.000 1.966 2.305
W 0.000 1.966 6.916
W 1.966 0.000 2.305
W 1.966 0.000 6.916
```

> Among the records above, which one has the highest energy of formation?

ScTa2W2

What did the first record say?
ScTa2W2: optimized geometry, PBE.

Output
- uncorrected energy (eV per formula unit) = -52.450
- DOS at the Fermi energy (states/eV/atom) = 1.208
- energy of formation (eV per atom) = 0.699
- crystal system = tetragonal
- space group = I4/mmm (139)

The structure in extended XYZ format:
```
10
Lattice="3.944 0.000 0.000 0.000 3.944 0.000 0.000 0.000 13.080" Properties=species:S:1:pos:R:3 pbc="T T T"
Sc 0.000 0.000 0.000
Sc 1.972 1.972 6.540
Ta 0.000 0.000 5.120
Ta 0.000 0.000 7.961
Ta 1.972 1.972 1.421
Ta 1.972 1.972 11.660
W 0.000 1.972 3.270
W 0.000 1.972 9.810
W 1.972 0.000 3.270
W 1.972 0.000 9.810
```

> uncorrected energy of number 1 (ScTa2W2)?

-52.450 eV per formula unit

Copy entry 1 word for word.
ScTa2W2: optimized geometry, PBE.

Output
- uncorrected energy (eV per formula unit) = -52.450
- DOS at the Fermi energy (states/eV/atom) = 1.208
- energy of formation (eV per atom) = 0.699
- crystal system = tetragonal
- space group = I4/mmm (139)

The structure in extended XYZ format:
```
10
Lattice="3.944 0.000 0.000 0.000 3.944 0.000 0.000 0.000 13.080" Properties=species:S:1:pos:R:3 pbc="T T T"
Sc 0.000 0.000 0.000
Sc 1.972 1.972 6.540
Ta 0.000 0.000 5.120
Ta 0.000 0.000 7.961
Ta 1.972 1.972 1.421
Ta 1.972 1.972 11.660
W 0.000 1.972 3.270
W 0.000 1.972 9.810
W 1.972 0.000 3.270
W 1.972 0.000 9.810
```